[1]
{
  "formula": "SrTlCdRh",
  "functional": "PBE",
  "state": "relaxed",
  "final_energy_ev_per_atom": -3.291,
  "rho_g_cm3": 7.83,
  "magmom_total_mub_per_cell": 0.0,
  "formation_enthalpy_0k_mev_per_atom": -213,
  "dos_ef_per_ev_cell": 3.7,
  "lattice_angstrom": [[4.7281, 0.0000, 0.0000], [2.3641, 4.0947, 0.0000], [2.3641, 1.3649, 5.5553]],
  "species": ["Cd", "Sr", "Tl", "Rh"],
  "fractional_positions": [[0.2676, 0.2676, 0.1971], [0.8138, 0.8138, 0.5585], [0.0218, 0.0218, 0.9345], [0.6226, 0.6226, 0.1323]]
}



[2]
{
  "formula": "TaCd2Rh",
  "functional": "PBE",
  "state": "relaxed",
  "final_energy_ev_per_atom": -5.384,
  "rho_g_cm3": 11.31,
  "magmom_total_mub_per_cell": 0.0,
  "formation_enthalpy_0k_mev_per_atom": -126,
  "dos_ef_per_ev_cell": 1.7,
  "lattice_angstrom": [[-1.2647, 2.2081, -1.7161], [-2.1783, -1.9589, -0.9153], [-4.5285, 2.1710, 6.1308]],
  "species": ["Rh", "Cd", "Cd", "Ta"],
  "fractional_positions": [[0.0000, 0.0000, 0.5243], [0.5000, 0.5000, 0.2739], [0.0000, 0.0000, 0.9869], [0.5000, 0.5000, 0.7149]]
}



[3]
{
  "formula": "TaCd2Rh",
  "functional": "PBE",
  "state": "relaxed",
  "final_energy_ev_per_atom": -5.128,
  "rho_g_cm3": 11.60,
  "magmom_total_mub_per_cell": 0.0,
  "formation_enthalpy_0k_mev_per_atom": 131,
  "dos_ef_per_ev_cell": 3.4,
  "lattice_angstrom": [[4.3721, -3.4968, 1.6759], [2.2431, 0.2604, 5.3900], [-4.4628, -0.9827, -3.6428]],
  "species": ["Ta", "Cd", "Cd", "Rh"],
  "fractional_positions": [[0.0000, 0.5000, 0.5000], [0.7337, 0.7337, 0.0000], [0.2663, 0.2663, 0.0000], [0.5000, 0.0000, 0.5000]]
}